Record 1
A plane-wave DFT calculation with PBE-GGA was carried out for crystalline IrINO2 at its relaxed geometry.

a = 3.838 Å, b = 3.838 Å, c = 4.307 Å
α = 90.00°, β = 90.00°, γ = 90.00°
Last column: magnetic moment on the atom in μB.
Fractional coordinates of all 5 atoms:
I  0.000  0.000  0.500  0.02
O  0.500  0.000  0.000  0.31
O  0.000  0.500  0.000  0.31
Ir  0.500  0.500  0.500  0.71
N  0.000  0.000  0.000  0.05

Summary:
Density of states at the Fermi level   0.70 states/eV per atom
E_form (uncorrected)   1.727 eV per atom



Record 2
A plane-wave DFT calculation with PBE-GGA was carried out for crystalline IrIN2O at its relaxed geometry.

a = 4.148 Å, b = 4.148 Å, c = 3.848 Å
α = 90.00°, β = 90.00°, γ = 90.00°
Last column: magnetic moment on the atom in μB.
Fractional coordinates of all 5 atoms:
O  0.000  0.000  0.500  0.08
Ir  0.500  0.500  0.500  0.68
I  0.000  0.000  0.000  0.00
N  0.500  0.000  0.000  0.01
N  0.000  0.500  0.000  0.01

Summary:
Density of states at the Fermi level   1.19 states/eV per atom
E_form (uncorrected)   2.286 eV per atom



Record 3
A plane-wave DFT calculation with PBE-GGA was carried out for crystalline IrINO2 at its relaxed geometry.

a = 4.042 Å, b = 4.042 Å, c = 3.934 Å
α = 90.00°, β = 90.00°, γ = 90.00°
Fractional coordinates of all 5 atoms:
Ir  0.000  0.000  0.000
O  0.000  0.500  0.000
O  0.500  0.000  0.000
N  0.000  0.000  0.500
I  0.500  0.500  0.500

Summary:
Density of states at the Fermi level   0.41 states/eV per atom
E_form (uncorrected)   0.531 eV per atom



Record 4
A plane-wave DFT calculation with PBE-GGA was carried out for crystalline IrIN2O at its relaxed geometry.

a = 3.694 Å, b = 3.694 Å, c = 6.305 Å
α = 90.00°, β = 90.00°, γ = 90.00°
Last column: magnetic moment on the atom in μB.
Fractional coordinates of all 5 atoms:
N  0.500  0.000  0.000  0.18
N  0.000  0.500  0.000  0.18
O  0.500  0.500  0.500  0.00
I  0.000  0.000  0.500  0.02
Ir  0.000  0.000  0.000  0.00

Summary:
Density of states at the Fermi level   0.53 states/eV per atom
E_form (uncorrected)   1.015 eV per atom



Total magnetic moment per entry: 0.298 0.163 0.000 0.105 μB per atom